# 1
VASP calculation (PBE) on a relaxed DyEr4Tm2Ni2Se2 crystal.

POSCAR file:
```
DyEr4Tm2Ni2Se2
1.0
3.5789 -8.2498 0.1011
-8.6168 0.8964 2.4138
6.8642 -0.8367 -5.7499
Tm Er Se Dy Ni
2 4 2 1 2
direct
0.7754 0.4164 0.3590
0.0575 0.4164 0.6410
0.7422 0.0586 0.6836
0.1370 0.2630 0.8740
0.3750 0.0586 0.3164
0.3890 0.2630 0.1260
0.4177 0.9177 0.5000
0.0164 0.0164 0.0000
0.6775 0.6775 0.0000
0.9912 0.7534 0.2378
0.5156 0.7534 0.7622
```

## Properties
As for the symmetry: Imm2. Its total energy is -5.36 eV/atom.

---

# 2
VASP calculation (PBE) on a relaxed MgFeGeOs crystal.

POSCAR file:
```
MgFeGeOs
1.0
-2.8397 0.4852 3.1358
-0.5945 3.8317 1.7599
-3.6160 2.1327 -0.7133
Ge Mg Os Fe
1 1 1 1
direct
0.0000 0.0000 0.0000
0.5000 0.5000 0.5000
0.2500 0.2500 0.2500
0.7500 0.7500 0.7500
```

## Properties
As for the symmetry: F-43m. For the excess energy over the best structure of this formula in the dataset, the calculation gives 0.0 meV per atom.

---

# 3
VASP calculation (PBE) on a relaxed LiLaSiPt crystal.

POSCAR file:
```
LiLaSiPt
1.0
0.0000 3.3524 3.3524
3.3524 0.0000 3.3524
3.3524 3.3524 0.0000
Pt Li Si La
1 1 1 1
direct
0.2500 0.2500 0.2500
0.7500 0.7500 0.7500
0.0000 0.0000 0.0000
0.5000 0.5000 0.5000
```

## Properties
As for the symmetry: F-43m. For the excess energy over the best structure of this formula in the dataset, the calculation gives 0.0 meV per atom.

---

# 4
VASP calculation (PBE) on a relaxed AlCu2Se2S crystal.

POSCAR file:
```
AlCu2Se2S
1.0
3.3744 -5.8336 0.0000
3.3744 5.8336 0.0000
-2.2505 0.0000 6.2431
Cu S Se Al
4 2 4 2
direct
0.5792 0.4114 0.9951
0.4114 0.5792 0.4951
0.7418 0.2248 0.4968
0.2248 0.7418 0.9968
0.7813 0.9407 0.6189
0.9407 0.7812 0.1189
0.6125 0.1107 0.1142
0.1107 0.6125 0.6142
0.2805 0.4492 0.1133
0.4492 0.2805 0.6133
0.9080 0.0652 0.9907
0.0652 0.9080 0.4907
```

## Properties
As for the symmetry: Cc. For the excess energy over the best structure of this formula in the dataset, the calculation gives 0.0 meV per atom.